The following is a DFT calculation (PBE) of a relaxed TbDyPt2 crystal.

```
8
Lattice="5.576 0.000 0.000 0.000 4.511 0.000 -0.020 0.000 7.048" Properties=species:S:1:pos:R:3 pbc="T T T"
Pt 1.909 3.383 3.835
Pt 0.859 3.383 0.319
Pt 3.647 1.128 3.213
Pt 4.697 1.128 6.729
Tb 1.989 1.128 5.763
Tb 3.567 3.383 1.285
Dy 0.774 1.128 2.243
Dy 4.782 3.383 4.805
```

## Properties
The space group is No. 11. Its total energy is -6.616 eV/atom.